[1]
A plane-wave DFT calculation with GGA-PBE was carried out for an optimized crystal structure of TiTc.

a b c (Å): 7.341 7.341 4.341
angles (deg): 90.00 90.00 120.00
Positions (direct):
Ti: 0.704 0.834 0.750
Ti: 0.834 0.130 0.250
Ti: 0.870 0.704 0.250
Ti: 0.296 0.166 0.250
Ti: 0.130 0.296 0.750
Ti: 0.166 0.870 0.750
Tc: 0.598 0.106 0.750
Tc: 0.402 0.894 0.250
Tc: 0.894 0.493 0.750
Tc: 0.507 0.402 0.750
Tc: 0.493 0.598 0.250
Tc: 0.106 0.507 0.250

Summary:
Formation energy ... 0.10 eV per atom
Theoretical density ... 7175 kg/m³
DOS(E_F) ... 2.301 states/eV/f.u.


[2]
A plane-wave DFT calculation with GGA-PBE was carried out for an optimized crystal structure of Ti4Tc.

a b c (Å): 4.665 4.665 4.665
angles (deg): 90.00 90.00 90.00
Site moments in Bohr magnetons follow the coordinates.
Positions (direct):
Tc: 0.500 0.500 0.500  0.01
Ti: 0.500 0.000 0.500  -0.07
Ti: 0.500 0.500 0.000  -0.07
Ti: 0.000 0.500 0.500  -0.07
Ti: 0.000 0.000 0.000  0.53

Summary:
Energy above the most stable polymorph in this dataset ... 0.805 eV/atom
Formation energy ... 0.57 eV per atom
Theoretical density ... 4735 kg/m³
DOS(E_F) ... 8.763 states/eV/f.u.


[3]
A plane-wave DFT calculation with GGA-PBE was carried out for an optimized crystal structure of TiTc.

a b c (Å): 2.808 5.028 4.402
angles (deg): 90.00 90.00 102.94
Positions (direct):
Tc: 0.627 0.874 0.750
Tc: 0.373 0.126 0.250
Ti: 0.143 0.374 0.750
Ti: 0.857 0.626 0.250

Summary:
Formation energy ... -0.34 eV per atom
Theoretical density ... 7998 kg/m³
DOS(E_F) ... 1.846 states/eV/f.u.